TbPm2Y3Tm6: optimized geometry, PBE-GGA.

```
data_TbPm2Y3Tm6
_symmetry_space_group_name_H-M 'P 1'
_symmetry_Int_Tables_number 1
_symmetry_space_group_name_Hall 'P 1'
_cell_length_a 6.139
_cell_length_b 6.139
_cell_length_c 11.709
_cell_angle_alpha 95.01
_cell_angle_beta 95.01
_cell_angle_gamma 119.95
loop_
_atom_site_label
_atom_site_fract_x
_atom_site_fract_y
_atom_site_fract_z
Tb1 0.000 0.000 0.000
Pm1 0.333 0.667 0.000
Pm2 0.667 0.333 0.000
Y1 0.167 0.833 0.500
Y2 0.833 0.167 0.500
Y3 0.500 0.500 0.500
Tm1 0.916 0.583 0.749
Tm2 0.752 0.752 0.251
Tm3 0.084 0.417 0.251
Tm4 0.583 0.916 0.749
Tm5 0.248 0.248 0.749
Tm6 0.417 0.084 0.251
```

Summary:
**Magnetization**: 0.00 μB per formula unit
**DFT total energy**: -5.005 eV per atom
**N(E_F)**: 17.0 states/eV per cell
**Space-group type**: C2/m